Model i:
RbNa3Tl3 | Alexandria | GGA-PBE | relaxed; Fermi-level density of states = 8.043 states/eV/cell; volume = 639.1 Å³ per cell
1.0
-6.7776 -3.8719 -3.6421
4.1281 -0.1158 -7.5589
3.3489 -7.6933 1.9468
Tl Na Rb
6 6 2
direct
0.2500 0.0000 0.5000
0.5000 0.2500 0.0000
0.0000 0.5000 0.2500
0.5000 0.7500 0.0000
0.7500 0.0000 0.5000
0.0000 0.5000 0.7500
0.0000 0.2500 0.5000
0.0000 0.7500 0.5000
0.5000 0.0000 0.2500
0.2500 0.5000 0.0000
0.7500 0.5000 0.0000
0.5000 0.0000 0.7500
0.5000 0.5000 0.5000
0.0000 0.0000 0.0000

=====

Model ii:
RbNa3Tl3 | Alexandria | GGA-PBE | relaxed; Fermi-level density of states = 7.643 states/eV/cell; volume = 535.9 Å³ per cell
1.0
7.9612 0.0000 4.0269
2.9622 7.3896 4.0269
0.2852 0.1930 9.3193
Tl Rb Na
6 2 6
direct
0.6952 0.6952 0.5443
0.0652 0.6952 0.5443
0.3048 0.3048 0.4557
0.3048 0.9348 0.4557
0.9348 0.3048 0.4557
0.6952 0.0652 0.5443
0.6056 0.6056 0.1832
0.3944 0.3944 0.8168
0.0720 0.0720 0.1958
0.0720 0.6602 0.1958
0.9280 0.3398 0.8042
0.6602 0.0720 0.1958
0.9280 0.9280 0.8042
0.3398 0.9280 0.8042

=====

The most stable of them is model ii.

=====

Model i:
RbNa6Tl | Alexandria | GGA-PBE | relaxed; Fermi-level density of states = 4.726 states/eV/cell; volume = 325.6 Å³ per cell
1.0
-3.8717 -3.2312 2.7413
-1.7711 -4.9429 -2.3187
6.5355 -8.2574 5.5064
Tl Na Rb
1 6 1
direct
0.0000 0.0000 0.0000
0.6344 0.6344 0.0968
0.3656 0.3656 0.9032
0.2671 0.2671 0.1987
0.0961 0.0961 0.7117
0.7329 0.7329 0.8013
0.9039 0.9039 0.2883
0.5000 0.5000 0.5000

=====

Model ii:
RbNa6Tl | Alexandria | GGA-PBE | relaxed; Fermi-level density of states = 3.616 states/eV/cell; volume = 350.4 Å³ per cell
1.0
-0.8634 -4.4759 3.1520
4.2688 1.4473 3.2244
-7.0547 6.0316 6.6325
Na Rb Tl
6 1 1
direct
0.5000 0.0000 0.6516
0.0000 0.5000 0.6516
0.0000 0.5000 0.3484
0.5000 0.5000 0.1491
0.5000 0.5000 0.8509
0.5000 0.0000 0.3484
0.0000 0.0000 0.0000
0.0000 0.0000 0.5000

=====

The most stable of them is model i.

=====

Model i:
RbNa6Tl12 | Alexandria | GGA-PBE | relaxed; Fermi-level density of states = 8.461 states/eV/cell; volume = 573.3 Å³ per cell
1.0
-4.4132 5.1055 5.4951
-1.4679 -8.7598 2.3655
3.0514 -1.5910 8.5231
Rb Na Tl
1 6 12
direct
0.0000 0.0000 0.0000
0.9505 0.2981 0.4882
0.0495 0.7019 0.5118
0.3476 0.7862 0.7019
0.5613 0.5118 0.7862
0.6524 0.2138 0.2981
0.4387 0.4882 0.2138
0.2126 0.7276 0.1221
0.3347 0.1221 0.1503
0.2636 0.4458 0.6197
0.1822 0.0655 0.5542
0.6653 0.8779 0.8497
0.4850 0.1503 0.7276
0.8178 0.9345 0.4458
0.1167 0.3803 0.0655
0.7364 0.5542 0.3803
0.7874 0.2724 0.8779
0.8833 0.6197 0.9345
0.5150 0.8497 0.2724

=====

Model ii:
RbNa6Tl12 | Alexandria | GGA-PBE | relaxed; Fermi-level density of states = 8.646 states/eV/cell; volume = 627.5 Å³ per cell
1.0
8.8538 0.0800 0.1127
-2.1172 8.5973 0.1127
-2.1172 -2.7271 8.1541
Na Tl Rb
6 12 1
direct
0.2847 0.6960 0.2847
0.7153 0.7153 0.3040
0.7153 0.3040 0.7153
0.3040 0.7153 0.7153
0.6960 0.2847 0.2847
0.2847 0.2847 0.6960
0.1128 0.5000 0.8872
0.8872 0.5000 0.1128
0.5000 0.1128 0.8872
0.3875 0.3875 0.1150
0.6125 0.8850 0.6125
0.1150 0.3875 0.3875
0.3875 0.1150 0.3875
0.8872 0.1128 0.5000
0.1128 0.8872 0.5000
0.6125 0.6125 0.8850
0.8850 0.6125 0.6125
0.5000 0.8872 0.1128
0.0000 0.0000 0.0000

=====

The most stable of them is model i.

=====

Model i:
RbNa3V | Alexandria | GGA-PBE | relaxed; Fermi-level density of states = 9.279 states/eV/cell; volume = 226.7 Å³ per cell
1.0
6.0978 0.0000 0.0000
0.0000 6.0978 0.0000
0.0000 0.0000 6.0978
Na V Rb
3 1 1
direct
0.0000 0.0000 0.5000
0.5000 0.0000 0.0000
0.0000 0.5000 0.0000
0.0000 0.0000 0.0000
0.5000 0.5000 0.5000

=====

Model ii:
RbNa3V | Alexandria | GGA-PBE | relaxed; Fermi-level density of states = 6.732 states/eV/cell; volume = 232.1 Å³ per cell
1.0
6.1454 0.0000 0.0000
0.0000 6.1454 0.0000
0.0000 0.0000 6.1454
Na Rb V
3 1 1
direct
0.0000 0.5000 0.0000
0.0000 0.0000 0.5000
0.5000 0.0000 0.0000
0.0000 0.0000 0.0000
0.5000 0.5000 0.5000

=====

The most stable of them is model i.

=====

Model i:
RbNa2V | Alexandria | GGA-PBE | relaxed; Fermi-level density of states = 15.485 states/eV/cell; volume = 330.2 Å³ per cell
1.0
-7.9023 2.8549 -4.4823
-1.5898 -8.9343 -2.8878
-6.6847 -3.6697 -0.6685
Na Rb V
4 2 2
direct
0.8750 0.8255 0.7500
0.1745 0.6250 0.2500
0.5755 0.1250 0.2500
0.3750 0.4245 0.7500
0.7500 0.2500 0.5000
0.0000 0.0000 0.0000
0.5000 0.5000 0.0000
0.2500 0.7500 0.5000

=====

Model ii:
RbNa2V | Alexandria | GGA-PBE | relaxed; Fermi-level density of states = 8.247 states/eV/cell; volume = 149.5 Å³ per cell
1.0
0.0000 4.2128 4.2128
4.2128 0.0000 4.2128
4.2128 4.2128 0.0000
Rb Na V
1 2 1
direct
0.5000 0.5000 0.5000
0.7500 0.7500 0.7500
0.2500 0.2500 0.2500
0.0000 0.0000 0.0000

=====

The most stable of them is model ii.

=====

Model i:
RbNaW2 | Alexandria | GGA-PBE | relaxed; Fermi-level density of states = 6.997 states/eV/cell; volume = 86.7 Å³ per cell
1.0
3.4249 -2.4129 2.6711
1.1889 1.6073 4.5486
-1.3594 -2.6220 3.9955
Na W Rb
1 2 1
direct
0.0000 0.0000 0.0000
0.7500 0.7500 0.7500
0.2500 0.2500 0.2500
0.5000 0.5000 0.5000

=====

Model ii:
RbNaW2 | Alexandria | GGA-PBE | relaxed; Fermi-level density of states = 10.242 states/eV/cell; volume = 210.8 Å³ per cell
1.0
9.2508 0.0000 0.0000
0.0000 9.2508 0.0000
4.6254 4.6254 2.4638
Na W Rb
2 4 2
direct
0.5000 0.5000 0.0000
0.2500 0.7500 0.5000
0.8750 0.8446 0.7500
0.3750 0.4054 0.7500
0.5946 0.1250 0.2500
0.1554 0.6250 0.2500
0.0000 0.0000 0.0000
0.7500 0.2500 0.5000

=====

The most stable of them is model ii.

=====

Model i:
RbNaY3 | Alexandria | GGA-PBE | relaxed; Fermi-level density of states = 8.467 states/eV/cell; volume = 207.9 Å³ per cell
1.0
-2.2405 -4.0759 3.6693
4.4601 0.9523 3.7812
-3.1912 4.1925 2.7084
Y Na Rb
3 1 1
direct
0.5000 0.0000 0.0000
0.0000 0.5000 0.0000
0.0000 0.0000 0.5000
0.0000 0.0000 0.0000
0.5000 0.5000 0.5000

=====

Model ii:
RbNaY3 | Alexandria | GGA-PBE | relaxed; Fermi-level density of states = 6.792 states/eV/cell; volume = 186.5 Å³ per cell
1.0
-3.1488 3.3319 -3.4097
-3.6848 0.8919 4.2743
3.0250 4.5547 1.6574
Y Na Rb
3 1 1
direct
0.5000 0.0000 0.0000
0.0000 0.0000 0.5000
0.0000 0.5000 0.0000
0.5000 0.5000 0.5000
0.0000 0.0000 0.0000

=====

The most stable of them is model i.

=====

Model i:
RbNaY2 | Alexandria | GGA-PBE | relaxed; Fermi-level density of states = 6.592 states/eV/cell; volume = 321.7 Å³ per cell
1.0
-2.2461 4.1847 0.4305
-0.6743 -0.8399 4.6456
10.8567 7.9821 5.4667
Y Na Rb
4 2 2
direct
0.3750 0.3813 0.7500
0.8750 0.8687 0.7500
0.1313 0.6250 0.2500
0.6187 0.1250 0.2500
0.2500 0.7500 0.5000
0.5000 0.5000 0.0000
0.7500 0.2500 0.5000
0.0000 0.0000 0.0000

=====

Model ii:
RbNaY2 | Alexandria | GGA-PBE | relaxed; Fermi-level density of states = 7.287 states/eV/cell; volume = 154.2 Å³ per cell
1.0
-0.0314 -5.0520 3.2724
1.4826 0.1818 5.8310
-4.2236 -0.8348 4.2067
Y Rb Na
2 1 1
direct
0.2500 0.2500 0.2500
0.7500 0.7500 0.7500
0.5000 0.5000 0.5000
0.0000 0.0000 0.0000

=====

The most stable of them is model i.

=====

Model i:
RbNa4Zn | Alexandria | GGA-PBE | relaxed; Fermi-level density of states = 5.402 states/eV/cell; volume = 497.2 Å³ per cell
1.0
-3.2843 -2.3164 -4.3756
6.2855 -5.2014 -1.9644
-5.1624 -3.0465 9.4731
Na Zn Rb
8 2 2
direct
0.4073 0.1407 0.8140
0.1334 0.6329 0.2658
0.0000 0.1927 0.0000
0.8666 0.3671 0.7342
0.5927 0.3268 0.1860
0.4073 0.6732 0.8140
0.0000 0.8073 0.0000
0.5927 0.8593 0.1860
0.7215 0.5003 0.0007
0.2785 0.4997 0.9993
0.2144 0.2148 0.4297
0.7856 0.7852 0.5703

=====

Model ii:
RbNa4Zn | Alexandria | GGA-PBE | relaxed; Fermi-level density of states = 4.232 states/eV/cell; volume = 239.2 Å³ per cell
1.0
6.9681 0.0000 0.0000
3.4841 6.0346 0.0000
3.4841 2.0115 5.6895
Na Rb Zn
4 1 1
direct
0.6269 0.6269 0.6269
0.6269 0.1193 0.6269
0.1193 0.6269 0.6269
0.6269 0.6269 0.1193
0.2500 0.2500 0.2500
0.0000 0.0000 0.0000

=====

The most stable of them is model i.

=====

Model i:
RbNa3Zn | Alexandria | GGA-PBE | relaxed; Fermi-level density of states = 2.470 states/eV/cell; volume = 212.5 Å³ per cell
1.0
-1.1335 5.7982 -0.8397
-3.7910 -0.0738 4.6078
4.4668 1.4087 3.6975
Zn Na Rb
1 3 1
direct
0.0000 0.0000 0.0000
0.5000 0.0000 0.0000
0.0000 0.0000 0.5000
0.0000 0.5000 0.0000
0.5000 0.5000 0.5000

=====

Model ii:
RbNa3Zn | Alexandria | GGA-PBE | relaxed; Fermi-level density of states = 4.224 states/eV/cell; volume = 375.6 Å³ per cell
1.0
7.2153 0.0000 0.0000
0.0000 7.2153 0.0000
0.0000 0.0000 7.2153
Na Zn Rb
3 1 1
direct
0.0000 0.5000 0.0000
0.5000 0.0000 0.0000
0.0000 0.0000 0.5000
0.5000 0.5000 0.5000
0.0000 0.0000 0.0000

=====

The most stable of them is model i.

=====

Model i:
RbNa2Zn2 | Alexandria | GGA-PBE | relaxed; Fermi-level density of states = 7.322 states/eV/cell; volume = 309.6 Å³ per cell
1.0
-0.5210 -2.2178 -9.2097
9.4069 0.9661 -0.7648
0.4048 -3.3259 0.7780
Rb Zn Na
2 4 4
direct
0.5000 0.5000 0.0000
0.0000 0.0000 0.0000
0.3321 0.1679 0.5000
0.1679 0.6679 0.5000
0.6679 0.8321 0.5000
0.8321 0.3321 0.5000
0.3760 0.8760 0.0000
0.1240 0.3760 0.0000
0.6240 0.1240 0.0000
0.8760 0.6240 0.0000

=====

Model ii:
RbNa2Zn2 | Alexandria | GGA-PBE | relaxed; Fermi-level density of states = 2.583 states/eV/cell; volume = 169.4 Å³ per cell
1.0
-2.8667 -3.0808 -2.7906
3.2461 -3.7766 0.8348
-3.2267 -5.1655 4.4491
Zn Na Rb
2 2 1
direct
0.4027 0.4027 0.1947
0.5973 0.5973 0.8053
0.7500 0.2500 0.5000
0.2500 0.7500 0.5000
0.0000 0.0000 0.0000

=====

The most stable of them is model ii.

=====

Model i:
RbNaZr2 | Alexandria | GGA-PBE | relaxed; Fermi-level density of states = 4.839 states/eV/cell; volume = 117.7 Å³ per cell
1.0
0.0000 3.8899 3.8899
3.8899 0.0000 3.8899
3.8899 3.8899 0.0000
Zr Na Rb
2 1 1
direct
0.2500 0.2500 0.2500
0.7500 0.7500 0.7500
0.0000 0.0000 0.0000
0.5000 0.5000 0.5000

=====

Model ii:
RbNaZr2 | Alexandria | GGA-PBE | relaxed; Fermi-level density of states = 11.144 states/eV/cell; volume = 245.2 Å³ per cell
1.0
4.2490 0.0000 0.0000
0.0000 4.2490 0.0000
2.1245 2.1245 13.5802
Zr Rb Na
4 2 2
direct
0.3750 0.3835 0.7500
0.6165 0.1250 0.2500
0.1335 0.6250 0.2500
0.8750 0.8665 0.7500
0.0000 0.0000 0.0000
0.7500 0.2500 0.5000
0.2500 0.7500 0.5000
0.5000 0.5000 0.0000

=====

The most stable of them is model ii.